Here is crystalline MnMoRu2 at its relaxed geometry from Alexandria via LeMat-Bulk. Energies are from PBE.

extended XYZ file:
```
4
Lattice="8.921 0.007 0.004 8.507 2.687 0.004 8.507 1.315 2.343" Properties=species:S:1:pos:R:3 pbc="T T T"
Mn 6.484 1.002 0.588
Mo 19.451 3.006 1.763
Ru 25.824 3.991 2.341
Ru 13.077 2.021 1.186
```

Computed properties:
Polymorph energy (0 for the lowest one) (kJ/mol of atoms): 10.4
Space group: R-3m, No. 166
Magnetization (μB per cell): 2.02
Energy of formation (eV per atom): 0.139

***

Here is crystalline MnMoRu2 at its relaxed geometry from Alexandria via LeMat-Bulk. Energies are from PBE.

extended XYZ file:
```
4
Lattice="-3.112 0.960 1.895 1.136 -0.883 2.312 3.196 4.057 3.193" Properties=species:S:1:pos:R:3 pbc="T T T"
Mn 2.140 1.528 2.740
Mo 1.686 2.841 5.075
Ru 1.141 -0.872 2.315
Ru -0.445 1.340 2.336
```

Computed properties:
Polymorph energy (0 for the lowest one) (kJ/mol of atoms): 7.4
Space group: Pmm2, No. 25
Magnetization (μB per cell): 1.45
Energy of formation (eV per atom): 0.108